Material: TlPS2
Method: DFT, PBE
State: relaxed

Summary:
The calculation puts the energy relative to the elements, uncorrected at -0.24 eV/atom.

a = 5.327 Å, b = 11.541 Å, c = 7.644 Å
α = 40.65°, β = 59.90°, γ = 78.93°
Fractional positions:
1 S 0.235 0.781 0.859
2 S 0.088 0.128 0.205
3 S 0.346 0.555 0.429
4 S 0.826 0.320 0.571
5 Tl 0.449 0.205 0.340
6 Tl 0.860 0.697 0.749
7 P 0.335 0.266 0.748
8 P 0.973 0.587 0.352